1.
A relaxed InGa2Pd8 crystal. Source: Alexandria, functional GGA-PBE.

CIF file:
```
data_InGa2Pd8
_chemical_formula_sum 'In2 Ga4 Pd16'
_symmetry_space_group_name_H-M 'I m m m'
_symmetry_Int_Tables_number 71
_symmetry_space_group_name_Hall '-I 2 2'
_cell_length_a 4.111
_cell_length_b 6.952
_cell_length_c 12.308
_cell_angle_alpha 90.00
_cell_angle_beta 90.00
_cell_angle_gamma 90.00
loop_
_atom_site_label
_atom_site_fract_x
_atom_site_fract_y
_atom_site_fract_z
In1 0.000 0.000 0.000
Ga1 0.000 0.000 0.314
Pd1 0.000 0.197 0.500
Pd2 0.000 0.279 0.164
Pd3 0.000 0.500 0.349
```

## Properties
* energy above the lowest structure with this stoichiometry: 0.007 eV per atom
* formation energy from the elements: -0.48 eV/atom
* E_tot: -5.06 eV/atom
* Fermi-level density of states: 10.6 states/eV/cell

2.
A relaxed Ac2GePbO6 crystal. Source: Alexandria, functional GGA-PBE.

CIF file:
```
data_Ac2GePbO6
_chemical_formula_sum 'Ac2 Ge1 Pb1 O6'
_symmetry_space_group_name_H-M 'P 4 m m'
_symmetry_Int_Tables_number 99
_cell_length_a 5.705
_cell_length_b 5.705
_cell_length_c 5.279
_cell_angle_alpha 90.00
_cell_angle_beta 90.00
_cell_angle_gamma 90.00
loop_
_symmetry_equiv_pos_as_xyz
'x,y,z'
'-y,x,z'
'-x,-y,z'
'y,-x,z'
'-x,y,z'
'y,x,z'
'x,-y,z'
'-y,-x,z'
loop_
_atom_site_label
_atom_site_fract_x
_atom_site_fract_y
_atom_site_fract_z
Ac1 0.000 0.500 0.000
Ge1 0.000 0.000 0.601
Pb1 0.500 0.500 0.544
O1 0.000 0.000 0.261
O2 0.221 0.221 0.724
O3 0.500 0.500 0.080
```

## Properties
* ΔE_f (raw): -22.98 eV/f.u.
* E_tot: -6.93 eV/atom
* Fermi-level density of states: 0.0 states/eV/cell

3.
A relaxed ScBiPdPt2 crystal. Source: Alexandria, functional GGA-PBE.

CIF file:
```
data_ScBiPdPt2
_chemical_formula_sum 'Sc1 Bi1 Pd1 Pt2'
_symmetry_space_group_name_H-M 'P 4/m m m'
_symmetry_Int_Tables_number 123
_symmetry_space_group_name_Hall '-P 4 2'
_cell_length_a 5.031
_cell_length_b 5.031
_cell_length_c 4.581
_cell_angle_alpha 90.00
_cell_angle_beta 90.00
_cell_angle_gamma 90.00
loop_
_atom_site_label
_atom_site_fract_x
_atom_site_fract_y
_atom_site_fract_z
Sc1 0.000 0.000 0.000
Bi1 0.500 0.500 0.000
Pd1 0.000 0.000 0.500
Pt1 0.000 0.500 0.500
```

## Properties
* formation energy from the elements: 0.23 eV/atom
* E_tot: -5.26 eV/atom
* Fermi-level density of states: 4.3 states/eV/cell

4.
A relaxed ScPPt2 crystal. Source: Alexandria, functional GGA-PBE.

CIF file:
```
data_ScPPt2
_chemical_formula_sum 'Sc1 P1 Pt2'
_symmetry_space_group_name_H-M 'P 4/m m m'
_symmetry_Int_Tables_number 123
_symmetry_space_group_name_Hall '-P 4 2'
_cell_length_a 3.928
_cell_length_b 3.928
_cell_length_c 4.134
_cell_angle_alpha 90.00
_cell_angle_beta 90.00
_cell_angle_gamma 90.00
loop_
_atom_site_label
_atom_site_fract_x
_atom_site_fract_y
_atom_site_fract_z
Sc1 0.000 0.000 0.000
P1 0.500 0.500 0.000
Pt1 0.000 0.500 0.500
```

## Properties
* formation energy from the elements: -0.75 eV/atom
* E_tot: -6.71 eV/atom
* Fermi-level density of states: 2.5 states/eV/cell

5.
A relaxed SbPbSe2 crystal. Source: Alexandria, functional GGA-PBE.

CIF file:
```
data_SbPbSe2
_chemical_formula_sum 'Sb4 Pb4 Se8'
_symmetry_space_group_name_H-M 'F -4 3 m'
_symmetry_Int_Tables_number 216
_symmetry_space_group_name_Hall 'F -4 2 3'
_cell_length_a 7.381
_cell_length_b 7.381
_cell_length_c 7.381
_cell_angle_alpha 90.00
_cell_angle_beta 90.00
_cell_angle_gamma 90.00
loop_
_atom_site_label
_atom_site_fract_x
_atom_site_fract_y
_atom_site_fract_z
Sb1 0.000 0.000 0.000
Pb1 0.250 0.250 0.250
Se1 0.000 0.000 0.500
Se2 0.250 0.250 0.750
```

## Properties
* ΔE_f (raw): 0.88 eV/f.u.
* E_tot: -3.48 eV/atom
* Fermi-level density of states: 12.1 states/eV/cell

6.
A relaxed InSnPb2Br8 crystal. Source: Alexandria, functional GGA-PBE.

CIF file:
```
data_InSnPb2Br8
_chemical_formula_sum 'In1 Sn1 Pb2 Br8'
_symmetry_space_group_name_H-M 'P 1 2/m 1'
_symmetry_Int_Tables_number 10
_cell_length_a 6.927
_cell_length_b 8.965
_cell_length_c 7.195
_cell_angle_alpha 90.00
_cell_angle_beta 90.07
_cell_angle_gamma 90.00
loop_
_symmetry_equiv_pos_as_xyz
'x,y,z'
'-x,-y,-z'
'-x,y,-z'
'x,-y,z'
loop_
_atom_site_label
_atom_site_fract_x
_atom_site_fract_y
_atom_site_fract_z
In1 0.000 0.000 0.000
Sn1 0.000 0.500 0.000
Pb1 0.500 0.247 0.500
Br1 0.224 0.244 0.168
Br2 0.262 0.500 0.670
Br3 0.264 0.000 0.684
```

## Properties
* ΔE_f (raw): -9.47 eV/f.u.
* E_tot: -3.08 eV/atom
* Fermi-level density of states: 3.6 states/eV/cell

7.
A relaxed LaNiSb2Te crystal. Source: Alexandria, functional GGA-PBE.

CIF file:
```
data_LaNiSb2Te
_chemical_formula_sum 'La1 Ni1 Sb2 Te1'
_symmetry_space_group_name_H-M 'P 4/m m m'
_symmetry_Int_Tables_number 123
_symmetry_space_group_name_Hall '-P 4 2'
_cell_length_a 4.977
_cell_length_b 4.977
_cell_length_c 5.384
_cell_angle_alpha 90.00
_cell_angle_beta 90.00
_cell_angle_gamma 90.00
loop_
_atom_site_label
_atom_site_fract_x
_atom_site_fract_y
_atom_site_fract_z
La1 0.000 0.000 0.000
Ni1 0.500 0.500 0.500
Sb1 0.000 0.500 0.500
Te1 0.500 0.500 0.000
```

## Properties
* ΔE_f (raw): -2.07 eV/f.u.
* E_tot: -4.83 eV/atom
* Fermi-level density of states: 3.4 states/eV/cell

8.
A relaxed LaAlIr2 crystal. Source: Alexandria, functional GGA-PBE.

CIF file:
```
data_LaAlIr2
_chemical_formula_sum 'La4 Al4 Ir8'
_symmetry_space_group_name_H-M 'I -4 2 d'
_symmetry_Int_Tables_number 122
_symmetry_space_group_name_Hall 'I -4 2bw'
_cell_length_a 7.266
_cell_length_b 7.266
_cell_length_c 6.045
_cell_angle_alpha 90.00
_cell_angle_beta 90.00
_cell_angle_gamma 90.00
loop_
_atom_site_label
_atom_site_fract_x
_atom_site_fract_y
_atom_site_fract_z
La1 0.000 0.000 0.000
Al1 0.000 0.000 0.500
Ir1 0.199 0.250 0.625
```

## Properties
* formation energy from the elements: -0.30 eV/atom
* E_tot: -6.90 eV/atom
* Fermi-level density of states: 0.7 states/eV/cell